No. 1
Density functional theory data (PBE) for a geometry-optimized HoEr2Ni structure.

Output
* DFT total energy: -20.219 eV/cell
* symmetry: P4/mmm, No. 123
* excess energy over the best structure of this formula in the dataset: 0.082 eV per atom
* ρ: 9.31 g cm⁻³
* ΔE_f: -183 meV/atom

a b c (Å): 3.408 3.408 8.569
angles (deg): 90.00 90.00 90.00
Sites, in units of the cell vectors:
Ni  0.500  0.500  0.000
Ho  0.500  0.500  0.500
Er  0.000  0.000  0.813
Er  0.000  0.000  0.187

No. 2
Density functional theory data (PBE) for a geometry-optimized PrGdPuMg structure.

Output
* DFT total energy: -34.211 eV/cell
* symmetry: F-43m, No. 216
* ρ: 7.83 g cm⁻³
* ΔE_f: 144 meV/atom

a b c (Å): 5.538 5.538 5.538
angles (deg): 60.00 60.00 60.00
Site moments in Bohr magnetons follow the coordinates.
Sites, in units of the cell vectors:
Pr  0.000  0.000  0.000  -0.14
Mg  0.750  0.750  0.750  0.01
Gd  0.500  0.500  0.500  6.95
Pu  0.250  0.250  0.250  -5.54

No. 3
Density functional theory data (PBE) for a geometry-optimized Cs2AgAsSe4 structure.

Output
* DFT total energy: -55.536 eV/cell
* symmetry: Fddd, No. 70
* formation energy (no corrections): -0.578 eV/atom
* ρ: 4.18 g cm⁻³

a b c (Å): 6.716 7.796 13.298
angles (deg): 83.76 75.37 64.49
Sites, in units of the cell vectors:
Cs  0.180  0.000  0.640
Cs  0.820  0.000  0.360
Cs  0.570  0.500  0.860
Cs  0.930  0.500  0.140
Ag  0.750  0.500  0.500
Ag  0.000  0.000  0.000
As  0.250  0.500  0.500
As  0.500  0.000  0.000
Se  0.337  0.807  0.104
Se  0.248  0.193  0.896
Se  0.856  0.807  0.896
Se  0.559  0.193  0.104
Se  0.413  0.693  0.396
Se  0.502  0.307  0.604
Se  0.894  0.693  0.604
Se  0.191  0.307  0.396

No. 4
Density functional theory data (PBE) for a geometry-optimized Ac2TlRhO6 structure.

Output
* DFT total energy: -136.049 eV/cell
* symmetry: P2_1/c, No. 14
* formation energy (no corrections): -2.034 eV/atom
* ρ: 9.50 g cm⁻³

a b c (Å): 5.840 6.163 8.328
angles (deg): 90.00 90.75 90.00
Sites, in units of the cell vectors:
Ac  0.018  0.936  0.250
Ac  0.518  0.564  0.750
Ac  0.982  0.064  0.750
Ac  0.482  0.436  0.250
Tl  0.500  0.000  0.000
Tl  0.000  0.500  0.500
Rh  0.500  0.000  0.500
Rh  0.000  0.500  0.000
O  0.293  0.687  0.051
O  0.793  0.813  0.551
O  0.707  0.313  0.949
O  0.207  0.187  0.449
O  0.321  0.714  0.441
O  0.821  0.786  0.941
O  0.679  0.286  0.559
O  0.179  0.214  0.059
O  0.893  0.539  0.236
O  0.393  0.961  0.736
O  0.107  0.461  0.764
O  0.607  0.039  0.264

No. 5
Density functional theory data (PBE) for a geometry-optimized FeSiPdRu structure.

Output
* DFT total energy: -29.318 eV/cell
* symmetry: F-43m, No. 216
* formation energy (no corrections): -0.241 eV/atom
* ρ: 9.05 g cm⁻³

a b c (Å): 4.229 4.229 4.229
angles (deg): 60.00 60.00 60.00
Site moments in Bohr magnetons follow the coordinates.
Sites, in units of the cell vectors:
Ru  0.500  0.500  0.500  0.37
Si  0.250  0.250  0.250  0.00
Fe  0.750  0.750  0.750  2.87
Pd  0.000  0.000  0.000  0.06

No. 6
Density functional theory data (PBE) for a geometry-optimized Na4PrHg15 structure.

Output
* DFT total energy: -19.100 eV/cell
* symmetry: P4/mmm, No. 123
* ρ: 10.42 g cm⁻³
* ΔE_f: -226 meV/atom

a b c (Å): 4.708 4.708 23.319
angles (deg): 90.00 90.00 90.00
Sites, in units of the cell vectors:
Na  0.000  0.000  0.202
Na  0.000  0.000  0.400
Na  0.000  0.000  0.600
Na  0.000  0.000  0.798
Pr  0.000  0.000  0.000
Hg  0.500  0.500  0.000
Hg  0.500  0.500  0.198
Hg  0.500  0.500  0.400
Hg  0.500  0.500  0.600
Hg  0.500  0.500  0.802
Hg  0.500  0.000  0.101
Hg  0.500  0.000  0.300
Hg  0.500  0.000  0.500
Hg  0.500  0.000  0.700
Hg  0.500  0.000  0.899
Hg  0.000  0.500  0.101
Hg  0.000  0.500  0.300
Hg  0.000  0.500  0.500
Hg  0.000  0.500  0.700
Hg  0.000  0.500  0.899

Copy entry 5 word for word.
Density functional theory data (PBE) for a geometry-optimized FeSiPdRu structure.

Output
* DFT total energy: -29.318 eV/cell
* symmetry: F-43m, No. 216
* formation energy (no corrections): -0.241 eV/atom
* ρ: 9.05 g cm⁻³

a b c (Å): 4.229 4.229 4.229
angles (deg): 60.00 60.00 60.00
Site moments in Bohr magnetons follow the coordinates.
Sites, in units of the cell vectors:
Ru  0.500  0.500  0.500  0.37
Si  0.250  0.250  0.250  0.00
Fe  0.750  0.750  0.750  2.87
Pd  0.000  0.000  0.000  0.06

What did the fifth record say?
Density functional theory data (PBE) for a geometry-optimized FeSiPdRu structure.

Output
* DFT total energy: -29.318 eV/cell
* symmetry: F-43m, No. 216
* formation energy (no corrections): -0.241 eV/atom
* ρ: 9.05 g cm⁻³

a b c (Å): 4.229 4.229 4.229
angles (deg): 60.00 60.00 60.00
Site moments in Bohr magnetons follow the coordinates.
Sites, in units of the cell vectors:
Ru  0.500  0.500  0.500  0.37
Si  0.250  0.250  0.250  0.00
Fe  0.750  0.750  0.750  2.87
Pd  0.000  0.000  0.000  0.06